Computed, not measured: a geometry-optimized Ba2CdOsN6 structure at the PBE-GGA level of DFT.

Computed properties:
The total energy comes out at -180.08 eV per cell. As for the volume: 150 Å³/f.u.

Lattice parameters (Å, degrees): 5.9620 5.9620 14.5787 90.00 90.00 120.00
With the nearest neighbours (Å) after each atom.
Space group R-3 (No. 148, hexagonal axes)
Symmetry-distinct sites (fractional):
Ba: 0.0000 0.0000 0.2500 x6  12 N 2.98-2.99
Cd: 0.0000 0.0000 0.0000 x3  6 N 2.27
Os: 0.0000 0.0000 0.5000 x3  6 N 1.94
N: 0.0269 0.5126 0.2435 x18  1 Os 1.94